VASP calculation (PBE-GGA) on an optimized crystal structure of TiGe2Ru2.

## Properties
Density of states at the Fermi level = 5.70 states/eV/f.u.
E_form = -0.242 eV/atom

Cell lengths 7.1437, 7.1437, 2.9688 Å; angles 90.00, 90.00, 90.00 degrees
Last column: nearest neighbours and their distance in Å.
Sites, in units of the cell vectors:
Ru: 0.3594 0.8594 0.0000  6 Ge 2.52-2.60, 2 Ti 2.76
Ru: 0.8594 0.6406 0.0000  6 Ge 2.52-2.60, 2 Ti 2.76
Ru: 0.6406 0.1406 0.0000  6 Ge 2.52-2.60, 2 Ti 2.76
Ru: 0.1406 0.3594 0.0000  6 Ge 2.52-2.60, 2 Ti 2.76
Ge: 0.1584 0.6584 0.5000  6 Ru 2.52-2.60
Ge: 0.6584 0.8416 0.5000  6 Ru 2.52-2.60
Ge: 0.8416 0.3416 0.5000  6 Ru 2.52-2.60
Ge: 0.3416 0.1584 0.5000  6 Ru 2.52-2.60
Ti: 0.0000 0.0000 0.0000  4 Ru 2.76, 2 Ti 2.97, 8 Ge 3.07
Ti: 0.5000 0.5000 0.0000  4 Ru 2.76, 2 Ti 2.97, 8 Ge 3.07

VASP calculation (PBE-GGA) on an optimized crystal structure of Ti3Ge4Ru.

## Properties
Density of states at the Fermi level = 6.60 states/eV/f.u.
E_form = -0.226 eV/atom

Cell lengths 4.9392, 9.7820, 5.5226 Å; angles 90.00, 90.00, 90.00 degrees
Last column: nearest neighbours and their distance in Å.
Sites, in units of the cell vectors:
Ti: 0.5644 0.8111 0.0000  5 Ge 2.60-2.80, 2 Ru 2.77
Ti: 0.0641 0.7030 0.2401  5 Ge 2.59-2.78, 2 Ti 2.65-2.87
Ti: 0.5641 0.2970 0.2599  5 Ge 2.59-2.78, 2 Ti 2.65-2.87
Ti: 0.0644 0.1889 0.5000  5 Ge 2.60-2.80, 2 Ru 2.77
Ti: 0.5641 0.2970 0.7401  5 Ge 2.59-2.78, 2 Ti 2.65-2.87
Ti: 0.0641 0.7030 0.7599  5 Ge 2.59-2.78, 2 Ti 2.65-2.87
Ge: 0.0646 0.9453 0.0000  1 Ru 2.63, 4 Ti 2.72-2.80, 4 Ge 2.77-2.79
Ge: 0.5651 0.0765 0.0000  3 Ti 2.59-2.60, 4 Ge 2.77-2.79, 2 Ru 2.81
Ge: 0.0641 0.4283 0.2603  1 Ru 2.54, 3 Ge 2.65-2.84, 4 Ti 2.69-2.78
Ge: 0.5641 0.5717 0.2397  1 Ru 2.54, 3 Ge 2.65-2.84, 4 Ti 2.69-2.78
Ge: 0.0651 0.9235 0.5000  3 Ti 2.59-2.60, 4 Ge 2.77-2.79, 2 Ru 2.81
Ge: 0.5646 0.0547 0.5000  1 Ru 2.63, 4 Ti 2.72-2.80, 4 Ge 2.77-2.79
Ge: 0.5641 0.5717 0.7603  1 Ru 2.54, 3 Ge 2.65-2.84, 4 Ti 2.69-2.78
Ge: 0.0641 0.4283 0.7397  1 Ru 2.54, 3 Ge 2.65-2.84, 4 Ti 2.69-2.78
Ru: 0.0646 0.2141 0.0000  5 Ge 2.54-2.81, 2 Ti 2.77
Ru: 0.5646 0.7859 0.5000  5 Ge 2.54-2.81, 2 Ti 2.77

VASP calculation (PBE-GGA) on an optimized crystal structure of Tl2Ge2Ru.

## Properties
Density of states at the Fermi level = 3.33 states/eV/f.u.
E_form = 0.262 eV/atom

Cell lengths 6.4674, 6.4674, 5.4368 Å; angles 90.00, 90.00, 90.00 degrees
Last column: nearest neighbours and their distance in Å.
Sites, in units of the cell vectors:
Ru: 0.0000 0.0000 0.0000  4 Ge 2.46
Ru: 0.5000 0.5000 0.0000  4 Ge 2.46
Tl: 0.1921 0.6921 0.5000  2 Ge 3.08, 4 Tl 3.32
Tl: 0.6921 0.8079 0.5000  2 Ge 3.08, 4 Tl 3.32
Tl: 0.8079 0.3079 0.5000  2 Ge 3.08, 4 Tl 3.32
Tl: 0.3079 0.1921 0.5000  2 Ge 3.08, 4 Tl 3.32
Ge: 0.3495 0.8495 0.0000  2 Ru 2.46, 1 Ge 2.75
Ge: 0.8495 0.6505 0.0000  2 Ru 2.46, 1 Ge 2.75
Ge: 0.6505 0.1505 0.0000  2 Ru 2.46, 1 Ge 2.75
Ge: 0.1505 0.3495 0.0000  2 Ru 2.46, 1 Ge 2.75